## RbAg6S4 (PBE)

Data for a relaxed structure of RbAg6S4.

VASP energy = -35.57 eV per cell

a b c (Å): 7.9697 7.9697 4.0539
angles (deg): 90.00 90.00 120.00
Space group P-6m2 (No. 187)
Symmetry-distinct sites (fractional):
Rb 0.0000 0.0000 0.0000
Ag 0.2015 0.4030 0.5000
Ag 0.5444 0.0889 0.0000
S 0.3333 0.6667 0.0000
S 0.3666 0.1833 0.5000

## GdAlAg2 (PBE)

Data for a relaxed structure of GdAlAg2.

Formation energy = -0.134 eV/atom

a b c (Å): 4.490 4.490 4.241
angles (deg): 90.00 90.00 90.00
Space group P4/mmm (No. 123)
Symmetry-distinct sites (fractional):
Gd 0.000 0.000 0.000
Al 0.500 0.500 0.000
Ag 0.000 0.500 0.500